[1]
# ZrSi2Ir PBE relaxed
# - Space-group type: Cm
# - Formation energy from raw total energies: -537.8 meV per atom
# - DOS at the Fermi energy: 1.57 states/eV/f.u.
# - VASP energy: -7.60 eV per atom
# - Total moment: 0.000 μB per formula unit
data_ZrSi2Ir
_chemical_formula_sum 'Zr1 Si2 Ir1'
_cell_length_a 4.628
_cell_length_b 4.628
_cell_length_c 4.840
_cell_angle_alpha 75.99
_cell_angle_beta 75.99
_cell_angle_gamma 40.08
_space_group_name_H-M_alt 'P 1'
_space_group_IT_number 1
loop_
_space_group_symop_operation_xyz
'x,y,z'
loop_
_atom_site_label
_atom_site_type_symbol
_atom_site_fract_x
_atom_site_fract_y
_atom_site_fract_z
_atom_site_occupancy
Si1 Si 0.998 0.998 0.015 1
Ir1 Ir 0.265 0.265 0.164 1
Si2 Si 0.739 0.739 0.793 1
Zr1 Zr 0.498 0.498 0.529 1

=====

[2]
# ZrSiIr2 PBE relaxed
# - Space-group type: P2/m
# - Formation energy from raw total energies: -602.8 meV per atom
# - DOS at the Fermi energy: 1.89 states/eV/f.u.
# - VASP energy: -8.53 eV per atom
# - Total moment: 0.000 μB per formula unit
data_ZrSiIr2
_chemical_formula_sum 'Zr1 Si1 Ir2'
_cell_length_a 3.885
_cell_length_b 3.108
_cell_length_c 5.632
_cell_angle_alpha 89.91
_cell_angle_beta 90.00
_cell_angle_gamma 90.00
_space_group_name_H-M_alt 'P 1'
_space_group_IT_number 1
loop_
_space_group_symop_operation_xyz
'x,y,z'
loop_
_atom_site_label
_atom_site_type_symbol
_atom_site_fract_x
_atom_site_fract_y
_atom_site_fract_z
_atom_site_occupancy
Ir1 Ir 0.000 0.251 0.498 1
Zr1 Zr 0.500 0.750 0.750 1
Ir2 Ir 0.000 0.249 0.002 1
Si1 Si 0.500 0.250 0.250 1

=====

[3]
# ZrSiIr2 PBE relaxed
# - Space-group type: Pm
# - Formation energy from raw total energies: -527.6 meV per atom
# - DOS at the Fermi energy: 3.35 states/eV/f.u.
# - VASP energy: -8.45 eV per atom
# - Total moment: 0.000 μB per formula unit
data_ZrSiIr2
_chemical_formula_sum 'Zr1 Si1 Ir2'
_cell_length_a 4.313
_cell_length_b 2.958
_cell_length_c 5.180
_cell_angle_alpha 75.77
_cell_angle_beta 90.00
_cell_angle_gamma 90.00
_space_group_name_H-M_alt 'P 1'
_space_group_IT_number 1
loop_
_space_group_symop_operation_xyz
'x,y,z'
loop_
_atom_site_label
_atom_site_type_symbol
_atom_site_fract_x
_atom_site_fract_y
_atom_site_fract_z
_atom_site_occupancy
Ir1 Ir 0.500 0.414 0.272 1
Ir2 Ir 0.000 0.041 0.010 1
Zr1 Zr 0.500 0.722 0.742 1
Si1 Si 0.000 0.323 0.476 1